[1]
VASP calculation (PBE) on LiBr3Cl after structural relaxation.

Volume   137.0 Å³/f.u.
D(E_F)   0.93 states/eV/atom
Energy above the most stable polymorph in this dataset   64.8 meV/atom
Crystal system   cubic

a b c (Å): 5.1552 5.1552 5.1552
angles (deg): 90.00 90.00 90.00
Closest atoms and distances in Å follow each position.
Positions (direct):
Br 0.5000 0.0000 0.0000  2 Li 2.58
Br 0.0000 0.0000 0.5000  2 Li 2.58
Br 0.0000 0.5000 0.0000  2 Li 2.58
Li 0.0000 0.0000 0.0000  6 Br 2.58
Cl 0.5000 0.5000 0.5000  12 Br 3.65

***

[2]
VASP calculation (PBE) on SiSb2Cl after structural relaxation.

Volume   103.6 Å³/f.u.
D(E_F)   0.29 states/eV/atom
Energy above the most stable polymorph in this dataset   0.0 meV/atom
Crystal system   monoclinic

a b c (Å): 4.3582 4.3582 7.0687
angles (deg): 76.00 76.00 53.30
Closest atoms and distances in Å follow each position.
Positions (direct):
Si 0.7500 0.7500 0.7500  6 Sb 2.75-2.77
Sb 0.4860 0.4860 0.5591  3 Si 2.75-2.77
Sb 0.0140 0.0140 0.9409  3 Si 2.75-2.77
Cl 0.2500 0.2500 0.2500  6 Sb 3.21-3.22